# 1
A plane-wave DFT calculation with PBE was carried out for CaAs2Br after structural relaxation.

a = 3.9579 Å, b = 3.9579 Å, c = 12.5709 Å
α = 90.00°, β = 90.00°, γ = 90.00°
Space group I4/mmm (No. 139)
One atom of each set of equivalent atoms:
Ca  0.0000  0.0000  0.0000 [2 per cell]
As  0.0000  0.5000  0.2500 [4 per cell]
Br  0.0000  0.0000  0.5000 [2 per cell]

- ΔE_f (raw): -2.584 eV/f.u.
- Magnetic moment: 0.000 Bohr magnetons per cell
- Fermi-level density of states: 0.519 states/eV/atom
- Relative energy among the computed polymorphs: 231 meV per atom

---

# 2
A plane-wave DFT calculation with PBE was carried out for Pm5MgSc4 after structural relaxation.

a = 3.6328 Å, b = 3.6328 Å, c = 22.0585 Å
α = 90.00°, β = 90.00°, γ = 90.00°
Space group P4/mmm (No. 123)
One atom of each set of equivalent atoms:
Pm  0.0000  0.0000  0.0000 [1 per cell]
Pm  0.0000  0.0000  0.1994 [2 per cell]
Pm  0.0000  0.0000  0.4005 [2 per cell]
Mg  0.5000  0.5000  0.5000 [1 per cell]
Sc  0.5000  0.5000  0.1001 [2 per cell]
Sc  0.5000  0.5000  0.3005 [2 per cell]

- Final energy: -5.0417 eV/atom
- Magnetic moment: 0.000 Bohr magnetons per cell
- Fermi-level density of states: 1.373 states/eV/atom

---

# 3
A plane-wave DFT calculation with PBE was carried out for Li2NbRe after structural relaxation.

a = 3.6362 Å, b = 3.6362 Å, c = 20.6019 Å
α = 90.00°, β = 90.00°, γ = 90.00°
Space group I-42d (No. 122)
One atom of each set of equivalent atoms:
Li  0.2298  0.2500  0.1250 [8 per cell]
Nb  0.0000  0.0000  0.5000 [4 per cell]
Re  0.0000  0.0000  0.0000 [4 per cell]

- Magnetic moment: 0.000 Bohr magnetons per cell
- Fermi-level density of states: 0.613 states/eV/atom
- Relative energy among the computed polymorphs: 0 meV per atom

---

# 4
A plane-wave DFT calculation with PBE was carried out for CePrAgIr after structural relaxation.

a = 7.2529 Å, b = 7.2529 Å, c = 7.2529 Å
α = 90.00°, β = 90.00°, γ = 90.00°
Space group F-43m (No. 216)
One atom of each set of equivalent atoms:
Ce  0.0000  0.0000  0.0000 [4 per cell]
Pr  0.0000  0.0000  0.5000 [4 per cell]
Ag  0.2500  0.2500  0.7500 [4 per cell]
Ir  0.2500  0.2500  0.2500 [4 per cell]

- Final energy: -5.9762 eV/atom
- Magnetic moment: 2.936 Bohr magnetons per cell
- Fermi-level density of states: 1.950 states/eV/atom

---

# 5
A plane-wave DFT calculation with PBE was carried out for TbCePr2N4 after structural relaxation.

a = 6.2210 Å, b = 3.6079 Å, c = 6.2544 Å
α = 90.00°, β = 109.27°, γ = 90.00°
Space group P2/m (No. 10)
One atom of each set of equivalent atoms:
Tb  0.0000  0.0000  0.0000 [1 per cell]
Ce  0.5000  0.5000  0.0000 [1 per cell]
Pr  0.0000  0.5000  0.5000 [1 per cell]
Pr  0.5000  0.0000  0.5000 [1 per cell]
N  0.2487  0.5000  0.2331 [2 per cell]
N  0.2580  0.0000  0.7680 [2 per cell]

- ΔE_f (raw): -11.573 eV/f.u.
- Magnetic moment: 0.000 Bohr magnetons per cell
- Fermi-level density of states: 0.347 states/eV/atom

---

# 6
A plane-wave DFT calculation with PBE was carried out for LaSbTe after structural relaxation.

a = 7.6158 Å, b = 7.6158 Å, c = 7.6158 Å
α = 90.00°, β = 90.00°, γ = 90.00°
Space group F-43m (No. 216)
One atom of each set of equivalent atoms:
La  0.0000  0.0000  0.0000 [4 per cell]
Sb  0.2500  0.2500  0.2500 [4 per cell]
Te  0.2500  0.2500  0.7500 [4 per cell]

- ΔE_f (raw): -2.053 eV/f.u.
- Magnetic moment: 0.000 Bohr magnetons per cell
- Fermi-level density of states: 1.786 states/eV/atom

---

# 7
A plane-wave DFT calculation with PBE was carried out for LaAlFe2 after structural relaxation.

a = 3.2934 Å, b = 3.3018 Å, c = 6.5167 Å
α = 90.00°, β = 90.11°, γ = 90.00°
Space group P2/m (No. 10)
One atom of each set of equivalent atoms:
La  0.0000  0.0000  0.0000 [1 per cell]
Al  0.0000  0.0000  0.5000 [1 per cell]
Fe  0.5001  0.5000  0.3274 [2 per cell]

- Final energy: -6.3444 eV/atom
- Magnetic moment: 3.499 Bohr magnetons per cell
- Fermi-level density of states: 0.906 states/eV/atom

---

# 8
A plane-wave DFT calculation with PBE was carried out for NaHg2GeSe4 after structural relaxation.

a = 9.1560 Å, b = 9.1642 Å, c = 11.8097 Å
α = 90.00°, β = 90.00°, γ = 90.00°
Space group Fmm2 (No. 42)
One atom of each set of equivalent atoms:
Na  0.0000  0.0000  0.0000 [4 per cell]
Hg  0.2500  0.2500  0.2495 [8 per cell]
Ge  0.0000  0.0000  0.4994 [4 per cell]
Se  0.0000  0.2191  0.6199 [8 per cell]
Se  0.2194  0.0000  0.3790 [8 per cell]

- ΔE_f (raw): -2.837 eV/f.u.
- Magnetic moment: 0.000 Bohr magnetons per cell
- Fermi-level density of states: 0.465 states/eV/atom

---

# 9
A plane-wave DFT calculation with PBE was carried out for Na2MgGa12Ni3 after structural relaxation.

a = 8.8488 Å, b = 8.8488 Å, c = 16.8567 Å
α = 90.00°, β = 90.00°, γ = 120.00°
Space group R-3m (No. 166, hexagonal axes)
One atom of each set of equivalent atoms:
Na  0.0000  0.0000  0.0857 [6 per cell]
Mg  0.0000  0.0000  0.5000 [3 per cell]
Ga  0.0357  0.5179  0.8615 [18 per cell]
Ga  0.0790  0.5395  0.3103 [18 per cell]
Ni  0.0000  0.5000  0.0000 [9 per cell]

- Final energy: -3.2090 eV/atom
- Magnetic moment: 0.000 Bohr magnetons per cell
- Fermi-level density of states: 0.538 states/eV/atom

---

# 10
A plane-wave DFT calculation with PBE was carried out for Tl2Ge2H after structural relaxation.

a = 5.8768 Å, b = 5.8768 Å, c = 6.3897 Å
α = 90.00°, β = 90.00°, γ = 90.00°
Space group I4/mmm (No. 139)
One atom of each set of equivalent atoms:
Tl  0.0000  0.5000  0.2500 [4 per cell]
Ge  0.0000  0.0000  0.2132 [4 per cell]
H  0.0000  0.0000  0.5000 [2 per cell]

- Magnetic moment: 0.000 Bohr magnetons per cell
- Fermi-level density of states: 0.539 states/eV/atom
- Relative energy among the computed polymorphs: 0 meV per atom

---

# 11
A plane-wave DFT calculation with PBE was carried out for Ac8Ir3RuI4 after structural relaxation.

a = 15.1830 Å, b = 8.7618 Å, c = 10.0132 Å
α = 90.00°, β = 120.46°, γ = 90.00°
Space group C2/m (No. 12)
One atom of each set of equivalent atoms:
Ac  0.0211  0.2476  0.3160 [8 per cell]
Ac  0.2266  0.0000  0.6840 [4 per cell]
Ac  0.2277  0.5000  0.6828 [4 per cell]
Ir  0.0000  0.5000  0.5000 [2 per cell]
Ir  0.2500  0.2500  0.5000 [4 per cell]
Ru  0.0000  0.0000  0.5000 [2 per cell]
I  0.0000  0.0000  0.0000 [2 per cell]
I  0.0000  0.5000  0.0000 [2 per cell]
I  0.2500  0.2500  0.0000 [4 per cell]

- ΔE_f (raw): -15.649 eV/f.u.
- Magnetic moment: 0.000 Bohr magnetons per cell
- Fermi-level density of states: 0.432 states/eV/atom

---

# 12
A plane-wave DFT calculation with PBE was carried out for Li2La2Pd5 after structural relaxation.

a = 4.5024 Å, b = 4.5024 Å, c = 8.3473 Å
α = 90.00°, β = 90.00°, γ = 90.00°
Space group P4/mmm (No. 123)
One atom of each set of equivalent atoms:
Li  0.0000  0.0000  0.1536 [2 per cell]
La  0.5000  0.5000  0.0000 [1 per cell]
La  0.5000  0.5000  0.5000 [1 per cell]
Pd  0.0000  0.0000  0.5000 [1 per cell]
Pd  0.0000  0.5000  0.2609 [4 per cell]

- Final energy: -5.0253 eV/atom
- Magnetic moment: 0.000 Bohr magnetons per cell
- Fermi-level density of states: 0.471 states/eV/atom

---

Fermi-level density of states of number 10 (Tl2Ge2H)?
0.539 states/eV/atom